Record 1
This record from the Alexandria database describes Y2Er3Al3 after structural relaxation. The functional is PBE.

a b c (Å): 11.1651 11.1651 11.1651
angles (deg): 161.10 153.51 32.74
With the nearest neighbours (Å) after each atom.
Sites, in units of the cell vectors:
Y 0.2298 0.2298 0.0000  2 Al 3.07, 4 Y 3.26
Y 0.7702 0.7702 0.0000  2 Al 3.07, 4 Y 3.26
Er 0.0000 0.0000 0.0000  8 Al 3.07-3.15
Er 0.3806 0.8806 0.5000  6 Al 3.15, 2 Y 3.48
Er 0.6194 0.1194 0.5000  6 Al 3.15, 2 Y 3.48
Al 0.1151 0.6151 0.5000  2 Y 3.07, 6 Er 3.07-3.15
Al 0.5000 0.5000 0.0000  8 Er 3.15
Al 0.8849 0.3849 0.5000  2 Y 3.07, 6 Er 3.07-3.15

Computed properties:
Raw total energy: -5.0257 eV/atom
Volume: 200.9 Å³ per cell
Energy of formation from the pure elements: -0.295 eV/atom
SG: Immm
Distance to the lowest polymorph of the same formula: 0 meV/atom


Record 2
This record from the Alexandria database describes YEr2Al after structural relaxation. The functional is PBE.

a b c (Å): 5.3255 5.3255 5.3255
angles (deg): 60.00 60.00 60.00
With the nearest neighbours (Å) after each atom.
Sites, in units of the cell vectors:
Y 0.0000 0.0000 0.0000  8 Er 3.26
Er 0.2500 0.2500 0.2500  4 Al 3.26, 4 Y 3.26
Er 0.7500 0.7500 0.7500  4 Al 3.26, 4 Y 3.26
Al 0.5000 0.5000 0.5000  8 Er 3.26

Computed properties:
Raw total energy: -4.8585 eV/atom
Volume: 106.8 Å³ per cell
Energy of formation from the pure elements: -0.025 eV/atom
SG: Fm-3m
Distance to the lowest polymorph of the same formula: 174 meV/atom


Record 3
This record from the Alexandria database describes Y12Er7Al after structural relaxation. The functional is PBE.

a b c (Å): 8.7440 8.7440 8.7440
angles (deg): 101.51 101.51 101.51
With the nearest neighbours (Å) after each atom.
Sites, in units of the cell vectors:
Y 0.0007 0.7400 0.2602  6 Y 3.40-3.58, 5 Er 3.41-3.63
Y 0.1599 0.1650 0.4205  6 Y 3.40-3.58, 4 Er 3.55-3.74, 1 Al 3.58
Y 0.1650 0.4205 0.1599  6 Y 3.40-3.58, 4 Er 3.55-3.74, 1 Al 3.58
Y 0.2602 0.0007 0.7400  6 Y 3.40-3.58, 5 Er 3.41-3.63
Y 0.2600 0.7398 0.9993  6 Y 3.40-3.58, 5 Er 3.41-3.63
Y 0.4205 0.1599 0.1650  6 Y 3.40-3.58, 4 Er 3.55-3.74, 1 Al 3.58
Y 0.5795 0.8401 0.8350  6 Y 3.40-3.58, 4 Er 3.55-3.74, 1 Al 3.58
Y 0.7400 0.2602 0.0007  6 Y 3.40-3.58, 5 Er 3.41-3.63
Y 0.7398 0.9993 0.2600  6 Y 3.40-3.58, 5 Er 3.41-3.63
Y 0.8350 0.5795 0.8401  6 Y 3.40-3.58, 4 Er 3.55-3.74, 1 Al 3.58
Y 0.8401 0.8350 0.5795  6 Y 3.40-3.58, 4 Er 3.55-3.74, 1 Al 3.58
Y 0.9993 0.2600 0.7398  6 Y 3.40-3.58, 5 Er 3.41-3.63
Er 0.0000 0.0000 0.0000  12 Y 3.52-3.55
Er 0.1840 0.5926 0.5927  3 Er 3.22-3.35, 1 Al 3.24, 2 Y 3.41-3.42
Er 0.4074 0.4073 0.8160  3 Er 3.22-3.35, 1 Al 3.24, 2 Y 3.41-3.42
Er 0.4073 0.8160 0.4074  3 Er 3.22-3.35, 1 Al 3.24, 2 Y 3.41-3.42
Er 0.5927 0.1840 0.5926  3 Er 3.22-3.35, 1 Al 3.24, 2 Y 3.41-3.42
Er 0.5926 0.5927 0.1840  3 Er 3.22-3.35, 1 Al 3.24, 2 Y 3.41-3.42
Er 0.8160 0.4074 0.4073  3 Er 3.22-3.35, 1 Al 3.24, 2 Y 3.41-3.42
Al 0.5000 0.5000 0.5000  6 Er 3.24, 6 Y 3.58

Computed properties:
Raw total energy: -5.6087 eV/atom
Volume: 621.6 Å³ per cell
Energy of formation from the pure elements: 0.054 eV/atom
SG: R-3


Record 4
This record from the Alexandria database describes YEr3Al2 after structural relaxation. The functional is PBE.

a b c (Å): 8.2954 8.2954 8.9633
angles (deg): 118.71 118.71 36.06
With the nearest neighbours (Å) after each atom.
Sites, in units of the cell vectors:
Y 0.1310 0.1310 0.1793  5 Al 3.02-3.28
Y 0.8690 0.8690 0.8207  5 Al 3.02-3.28
Er 0.0603 0.0603 0.7156  8 Er 3.34-3.62, 3 Al 3.34-3.39, 2 Y 3.59-3.72
Er 0.3132 0.3132 0.0080  2 Al 2.90-3.21, 2 Er 3.21
Er 0.3828 0.3828 0.4656  4 Al 2.91-3.13
Er 0.6172 0.6172 0.5344  4 Al 2.91-3.13
Er 0.6868 0.6868 0.9920  2 Al 2.90-3.21, 2 Er 3.21
Er 0.9397 0.9397 0.2844  8 Er 3.34-3.62, 3 Al 3.34-3.39, 2 Y 3.59-3.72
Al 0.2342 0.2342 0.5999  5 Er 3.04-3.39, 3 Y 3.26-3.28, 3 Al 3.29-3.31
Al 0.4751 0.4751 0.8402  1 Al 2.56
Al 0.5249 0.5249 0.1598  1 Al 2.56
Al 0.7658 0.7658 0.4001  5 Er 3.04-3.39, 3 Y 3.26-3.28, 3 Al 3.29-3.31

Computed properties:
Raw total energy: -4.8025 eV/atom
Volume: 313.3 Å³ per cell
Energy of formation from the pure elements: -0.196 eV/atom
SG: C2/m
Distance to the lowest polymorph of the same formula: 105 meV/atom